1.
DFT (GGA-PBE) results for Ba4As2Cl after structural relaxation.

Unit cell a=4.7669 b=4.7669 c=16.1482 alpha=81.51 beta=81.51 gamma=60.00
Sites, in units of the cell vectors:
As: 0.4140 0.4140 0.7580
As: 0.5860 0.5860 0.2420
Ba: 0.1173 0.1173 0.6482
Ba: 0.2894 0.2894 0.1318
Ba: 0.7106 0.7106 0.8682
Ba: 0.8827 0.8827 0.3518
Cl: 0.0000 0.0000 0.0000

M_tot in μB/f.u.: 0.00
Space group: R-3m, No. 166
Uncorrected formation energy in kcal/mol of atoms: -31.0



2.
DFT (GGA-PBE) results for LiCo2Hg after structural relaxation.

Unit cell a=8.8570 b=8.8570 c=8.8570 alpha=18.27 beta=18.27 gamma=18.27
Site moments in Bohr magnetons follow the coordinates.
Sites, in units of the cell vectors:
Co: 0.9940 0.9940 0.9940  1.73
Co: 0.2610 0.2610 0.2610  1.71
Hg: 0.5025 0.5025 0.5025  0.00
Li: 0.7425 0.7425 0.7425  -0.02

M_tot in μB/f.u.: 3.32
Energy of formation in meV/atom: 292.5
Space group: R3m, No. 160



3.
DFT (GGA-PBE) results for Er2Tm5In2 after structural relaxation.

Unit cell a=10.3908 b=6.4645 c=9.9481 alpha=108.96 beta=121.48 gamma=90.00
Sites, in units of the cell vectors:
Er: 0.0000 0.9889 0.0000
Er: 0.5000 0.4889 0.0000
Er: 0.2339 0.4283 0.5000
Er: 0.7661 0.9283 0.5000
Tm: 0.1891 0.6398 0.8883
Tm: 0.8109 0.7514 0.1117
Tm: 0.1992 0.1398 0.8883
Tm: 0.8008 0.2514 0.1117
Tm: 0.3468 0.9869 0.3015
Tm: 0.6532 0.6853 0.6985
Tm: 0.4548 0.4869 0.3015
Tm: 0.5452 0.1853 0.6985
Tm: 0.1427 0.9385 0.5000
Tm: 0.8573 0.4385 0.5000
In: 0.1167 0.5473 0.1777
In: 0.8833 0.3696 0.8223
In: 0.5610 0.0473 0.1777
In: 0.4390 0.8696 0.8223

M_tot in μB/f.u.: 0.00
Energy of formation in meV/atom: -16.5
Space group: Ima2, No. 46



4.
DFT (GGA-PBE) results for LiAg2IO4 after structural relaxation.

Unit cell a=5.4005 b=5.9313 c=5.6092 alpha=128.32 beta=125.54 gamma=79.10
Sites, in units of the cell vectors:
Li: 0.9917 0.4919 0.9836
Ag: 0.5186 0.0186 0.0372
Ag: 0.2690 0.2690 0.5380
I: 0.7846 0.7847 0.5693
O: 0.6193 0.5463 0.6111
O: 0.8339 0.4480 0.2120
O: 0.3782 0.7638 0.2120
O: 0.9917 0.0648 0.6110

M_tot in μB/f.u.: 0.00
Space group: C2, No. 5
Uncorrected formation energy in kcal/mol of atoms: -12.3



5.
DFT (GGA-PBE) results for NaZn2Cd10 after structural relaxation.

Unit cell a=5.8024 b=7.6778 c=7.6173 alpha=81.73 beta=67.61 gamma=67.80
Sites, in units of the cell vectors:
Na: 0.0000 0.0000 0.0000
Zn: 0.0000 0.5000 0.0000
Zn: 0.5000 0.5000 0.0000
Cd: 0.3470 0.6438 0.6622
Cd: 0.6530 0.3562 0.3378
Cd: 0.9908 0.3562 0.6622
Cd: 0.0092 0.6438 0.3378
Cd: 0.0000 0.0000 0.5000
Cd: 0.5000 0.0000 0.5000
Cd: 0.2838 0.2234 0.2090
Cd: 0.7162 0.7766 0.7910
Cd: 0.5072 0.7766 0.2090
Cd: 0.4928 0.2234 0.7910

M_tot in μB/f.u.: 0.00
Energy of formation in meV/atom: -3.6
Space group: Fmmm, No. 69



6.
DFT (GGA-PBE) results for BAsRhBr2 after structural relaxation.

Unit cell a=5.2853 b=5.2853 c=4.5994 alpha=90.00 beta=90.00 gamma=90.00
Sites, in units of the cell vectors:
As: 0.0000 0.0000 0.5000
B: 0.5000 0.5000 0.5000
Rh: 0.0000 0.0000 0.0000
Br: 0.0000 0.5000 0.0000
Br: 0.5000 0.0000 0.0000

M_tot in μB/f.u.: 0.00
Space group: P4/mmm, No. 123
Uncorrected formation energy in kcal/mol of atoms: 24.3
Energy above the lowest structure with this stoichiometry in meV/atom: 0



7.
DFT (GGA-PBE) results for Gd2HgRh after structural relaxation.

Unit cell a=5.1052 b=5.1052 c=5.1052 alpha=60.00 beta=60.00 gamma=60.00
Site moments in Bohr magnetons follow the coordinates.
Sites, in units of the cell vectors:
Gd: 0.2500 0.2500 0.2500  -7.00
Gd: 0.7500 0.7500 0.7500  -7.00
Rh: 0.5000 0.5000 0.5000  0.09
Hg: 0.0000 0.0000 0.0000  0.00

M_tot in μB/f.u.: 14.18
Energy of formation in meV/atom: -580.0
Space group: Fm-3m, No. 225
Energy above the lowest structure with this stoichiometry in meV/atom: 76



8.
DFT (GGA-PBE) results for Si2AsAu after structural relaxation.

Unit cell a=2.7368 b=3.3989 c=7.4316 alpha=90.00 beta=90.00 gamma=90.00
Sites, in units of the cell vectors:
As: 0.0000 0.0000 0.4777
Au: 0.5000 0.5000 0.7742
Si: 0.0000 0.0000 0.0102
Si: 0.5000 0.5000 0.2379

M_tot in μB/f.u.: 0.00
Space group: Pmm2, No. 25
Uncorrected formation energy in kcal/mol of atoms: 9.0



9.
DFT (GGA-PBE) results for TlSi2Ni2 after structural relaxation.

Unit cell a=3.6365 b=3.6365 c=6.3442 alpha=73.35 beta=73.35 gamma=90.00
Sites, in units of the cell vectors:
Ni: 0.3740 0.3740 0.2519
Ni: 0.6260 0.6260 0.7481
Tl: 0.0000 0.0000 0.0000
Si: 0.7500 0.2500 0.5000
Si: 0.2500 0.7500 0.5000

M_tot in μB/f.u.: 0.00
Space group: I4/mmm, No. 139
Uncorrected formation energy in kcal/mol of atoms: -2.7
Energy above the lowest structure with this stoichiometry in meV/atom: 0



10.
DFT (GGA-PBE) results for ZrAl3Rh after structural relaxation.

Unit cell a=5.0203 b=5.0203 c=5.0203 alpha=90.00 beta=90.00 gamma=90.00
Site moments in Bohr magnetons follow the coordinates.
Sites, in units of the cell vectors:
Rh: 0.5000 0.5000 0.5000  0.64
Al: 0.0000 0.5000 0.0000  0.00
Al: 0.0000 0.0000 0.5000  0.00
Al: 0.5000 0.0000 0.0000  0.01
Zr: 0.0000 0.0000 0.0000  -0.04

M_tot in μB/f.u.: 0.58
Energy of formation in meV/atom: 1346.2
Space group: Pm-3m, No. 221
Energy above the lowest structure with this stoichiometry in meV/atom: 2028



11.
DFT (GGA-PBE) results for LiPm2NpO6 after structural relaxation.

Unit cell a=5.8626 b=5.8627 c=5.9993 alpha=60.75 beta=60.75 gamma=60.00
Site moments in Bohr magnetons follow the coordinates.
Sites, in units of the cell vectors:
Li: 0.8082 0.8082 0.5755  0.00
Pm: 0.5349 0.5349 0.3953  0.01
Pm: 0.0296 0.0296 0.9112  0.01
Np: 0.3159 0.3159 0.0522  2.18
O: 0.5952 0.1963 0.2545  -0.04
O: 0.1963 0.9540 0.2545  -0.04
O: 0.9540 0.5952 0.2545  -0.04
O: 0.4317 0.6774 0.7725  -0.04
O: 0.6774 0.1184 0.7725  -0.04
O: 0.1184 0.4317 0.7725  -0.04

M_tot in μB/f.u.: 2.00
Space group: R3, No. 146
Uncorrected formation energy in kcal/mol of atoms: -68.8



12.
DFT (GGA-PBE) results for Pr8Nd4Er3 after structural relaxation.

Unit cell a=6.9310 b=9.4014 c=9.4014 alpha=82.50 beta=111.45 gamma=111.45
Site moments in Bohr magnetons follow the coordinates.
Sites, in units of the cell vectors:
Pr: 0.2913 0.2474 0.2474  0.01
Pr: 0.0000 0.7010 0.2990  0.00
Pr: 0.8278 0.2990 0.2990  0.00
Pr: 0.5000 0.7517 0.2483  0.01
Pr: 0.5000 0.2483 0.7517  0.01
Pr: 0.1722 0.7010 0.7010  0.00
Pr: 0.0000 0.2990 0.7010  0.00
Pr: 0.7087 0.7526 0.7526  0.01
Nd: 0.5000 0.0000 0.0000  0.06
Nd: 0.0000 0.5000 0.0000  0.00
Nd: 0.0000 0.0000 0.0000  0.06
Nd: 0.0000 0.0000 0.5000  0.00
Er: 0.5000 0.5000 0.0000  0.00
Er: 0.5000 0.0000 0.5000  0.00
Er: 0.5000 0.5000 0.5000  0.00

M_tot in μB/f.u.: 0.26
Energy of formation in meV/atom: 306.9
Space group: C2/m, No. 12